Compound: In2MoPb
Source: Alexandria
Functional: PBE
Structure: relaxed

Output
M_tot = 1.363 μB/cell
DFT total energy = -4.3880 eV per atom
Energy of formation = 616 meV/atom
Volume = 23.035 A^3/atom

Cell and atoms, written as extended XYZ:
```
4
Lattice="-1.134 5.576 -0.952 -4.275 -3.804 -0.732 -1.956 0.717 2.656" Properties=species:S:1:pos:R:3 pbc="T T T"
In 0.000 0.000 0.000
In -2.704 0.886 -0.842
Mo -1.545 3.146 0.852
Pb -3.115 -1.543 0.962
```



Compound: In2MoPb
Source: Alexandria
Functional: PBE
Structure: relaxed

Output
M_tot = 0.000 μB/cell
DFT total energy = -4.5977 eV per atom
Energy of formation = 406 meV/atom
Volume = 25.121 A^3/atom

Cell and atoms, written as extended XYZ:
```
4
Lattice="7.419 0.605 0.349 6.578 3.485 0.349 1.341 0.392 4.660" Properties=species:S:1:pos:R:3 pbc="T T T"
In 2.133 0.623 4.415
In 6.877 2.009 2.924
Mo 11.504 3.361 4.019
Pb 3.835 1.120 1.340
```



Compound: InMo2Pb
Source: Alexandria
Functional: PBE
Structure: relaxed

Output
M_tot = 1.511 μB/cell
DFT total energy = -6.2007 eV per atom
Energy of formation = 827 meV/atom
Volume = 19.462 A^3/atom
ΔE to the lowest computed polymorph = 548.3 meV per atom

Cell and atoms, written as extended XYZ:
```
4
Lattice="-4.639 0.089 2.435 0.001 -3.446 3.947 3.339 3.815 -1.326" Properties=species:S:1:pos:R:3 pbc="T T T"
In -1.810 1.113 2.150
Mo 0.000 0.000 0.000
Mo -2.319 -1.679 3.191
Pb 0.510 -0.655 2.906
```



Compound: In2MoPb
Source: Alexandria
Functional: PBE
Structure: relaxed

Output
M_tot = 0.000 μB/cell
DFT total energy = -4.5840 eV per atom
Energy of formation = 420 meV/atom
Volume = 24.229 A^3/atom

Cell and atoms, written as extended XYZ:
```
4
Lattice="-2.009 -0.758 2.211 2.520 -1.560 0.845 3.159 8.175 5.674" Properties=species:S:1:pos:R:3 pbc="T T T"
In 0.078 0.203 0.141
In 1.154 1.167 3.142
Mo 1.537 3.979 2.762
Pb 2.479 4.595 5.522
```



Compound: InMo2Pb
Source: Alexandria
Functional: PBE
Structure: relaxed

Output
M_tot = 0.000 μB/cell
DFT total energy = -6.4558 eV per atom
Energy of formation = 571 meV/atom
Volume = 19.900 A^3/atom
ΔE to the lowest computed polymorph = 293.2 meV per atom

Cell and atoms, written as extended XYZ:
```
4
Lattice="-1.979 1.518 5.080 -0.202 -4.024 3.975 3.371 2.860 -3.533" Properties=species:S:1:pos:R:3 pbc="T T T"
In 0.122 1.529 3.158
Mo -0.055 -0.063 0.229
Mo 1.092 -1.147 2.263
Pb -1.059 -1.217 4.398
```



Compound: InMo2Pb
Source: Alexandria
Functional: PBE
Structure: relaxed

Output
M_tot = 0.000 μB/cell
DFT total energy = -6.2766 eV per atom
Energy of formation = 751 meV/atom
Volume = 18.998 A^3/atom
ΔE to the lowest computed polymorph = 472.4 meV per atom

Cell and atoms, written as extended XYZ:
```
4
Lattice="-3.620 -2.269 2.086 -3.362 2.474 2.276 -4.375 0.311 -1.835" Properties=species:S:1:pos:R:3 pbc="T T T"
Pb -5.678 0.258 1.263
Mo -2.839 0.129 0.632
Mo -8.518 0.387 1.895
In 0.000 0.000 0.000
```